No. 1
{"formula": "ScGeI2", "functional": "PBE", "state": "relaxed", "lattice_angstrom": [[-1.322, 6.993, 4.067], [-7.354, -2.756, 2.348], [-2.865, 0.690, 6.143]], "species": ["I", "I", "I", "I", "Sc", "Sc", "Ge", "Ge"], "fractional_positions": [[0.607, 0.125, 0.250], [0.143, 0.625, 0.250], [0.375, 0.393, 0.750], [0.875, 0.857, 0.750], [0.500, 0.500, 0.000], [0.250, 0.750, 0.500], [0.000, 0.000, 0.000], [0.750, 0.250, 0.500]], "formation_energy_uncorrected_ev_per_atom": -0.050, "polymorph_energy_mev_per_atom": 30}

=====

No. 2
{"formula": "ZrHg5", "functional": "PBE", "state": "relaxed", "lattice_angstrom": [[-0.255, 1.004, 5.801], [1.491, 5.283, 2.144], [-4.147, 3.567, 2.193]], "species": ["Zr", "Hg", "Hg", "Hg", "Hg", "Hg"], "fractional_positions": [[0.000, 0.000, 0.000], [0.375, 0.375, 0.375], [0.750, 0.750, 0.750], [0.375, 0.876, 0.375], [0.375, 0.375, 0.876], [0.876, 0.375, 0.375]], "formation_enthalpy_0k_ev_per_atom": 0.324}

=====

No. 3
{"formula": "CaCoHgSb2", "functional": "PBE", "state": "relaxed", "lattice_angstrom": [[-2.134, 1.940, -3.916], [-4.403, -3.195, 0.816], [-1.987, 3.451, 2.792]], "species": ["Sb", "Sb", "Ca", "Co", "Hg"], "fractional_positions": [[0.000, 0.000, 0.500], [0.500, 0.000, 0.000], [0.000, 0.500, 0.000], [0.000, 0.000, 0.000], [0.500, 0.500, 0.500]], "formation_energy_uncorrected_ev_per_atom": -0.120}

=====

No. 4
{"formula": "KBr2F8", "functional": "PBE", "state": "relaxed", "lattice_angstrom": [[-3.616, -2.973, -4.569], [5.266, -2.689, 0.159], [-6.583, 0.126, 5.006]], "species": ["K", "Br", "Br", "F", "F", "F", "F", "F", "F", "F", "F"], "fractional_positions": [[0.000, 0.000, 0.000], [0.269, 0.182, 0.589], [0.731, 0.818, 0.411], [0.266, 0.729, 0.364], [0.734, 0.271, 0.636], [0.740, 0.821, 0.184], [0.261, 0.174, 0.357], [0.253, 0.615, 0.804], [0.260, 0.179, 0.815], [0.739, 0.826, 0.644], [0.747, 0.385, 0.196]], "formation_energy_uncorrected_ev_per_atom": -1.328}

=====

No. 5
{"formula": "TbNd7Dy4", "functional": "PBE", "state": "relaxed", "lattice_angstrom": [[6.015, 0.000, 0.000], [3.008, 9.125, 1.961], [3.008, 1.804, 7.910]], "species": ["Tb", "Nd", "Nd", "Nd", "Nd", "Nd", "Nd", "Nd", "Dy", "Dy", "Dy", "Dy"], "fractional_positions": [[0.000, 0.000, 0.000], [0.789, 0.881, 0.541], [0.211, 0.119, 0.459], [0.084, 0.555, 0.277], [0.916, 0.445, 0.723], [0.210, 0.767, 0.813], [0.500, 0.000, 0.000], [0.790, 0.233, 0.187], [0.572, 0.302, 0.554], [0.428, 0.698, 0.446], [0.671, 0.613, 0.044], [0.329, 0.387, 0.956]], "formation_enthalpy_0k_ev_per_atom": 0.212, "polymorph_energy_mev_per_atom": 205}

=====

No. 6
{"formula": "LuZrInOs", "functional": "PBE", "state": "relaxed", "lattice_angstrom": [[4.877, 0.000, 0.000], [2.439, 4.224, 0.000], [2.439, 1.408, 3.982]], "species": ["Lu", "Os", "Zr", "In"], "fractional_positions": [[0.250, 0.250, 0.250], [0.500, 0.500, 0.500], [0.750, 0.750, 0.750], [0.000, 0.000, 0.000]], "formation_enthalpy_0k_ev_per_atom": -0.252}

=====

No. 7
{"formula": "Cs2NaCu2Cl7", "functional": "PBE", "state": "relaxed", "lattice_angstrom": [[4.986, -0.003, 0.009], [0.003, 4.986, 0.009], [2.454, 2.451, 12.973]], "species": ["Cs", "Cs", "Na", "Cu", "Cu", "Cl", "Cl", "Cl", "Cl", "Cl", "Cl", "Cl"], "fractional_positions": [[0.823, 0.823, 0.357], [0.177, 0.177, 0.643], [0.000, 0.000, 0.000], [0.588, 0.588, 0.820], [0.412, 0.412, 0.180], [0.500, 0.500, 0.000], [0.320, 0.320, 0.363], [0.680, 0.680, 0.637], [0.918, 0.418, 0.166], [0.418, 0.918, 0.166], [0.582, 0.082, 0.834], [0.082, 0.582, 0.834]], "formation_energy_uncorrected_ev_per_atom": -1.180}

=====

No. 8
{"formula": "Sc3AlO", "functional": "PBE", "state": "relaxed", "lattice_angstrom": [[-9.396, 10.465, 17.335], [-4.490, 6.682, 4.981], [1.585, -6.585, -6.614]], "species": ["Sc", "Sc", "Sc", "Sc", "Sc", "Sc", "Al", "Al", "O", "O"], "fractional_positions": [[0.262, 0.775, 0.225], [0.738, 0.225, 0.775], [0.174, 0.232, 0.768], [0.826, 0.768, 0.232], [0.394, 0.808, 0.192], [0.606, 0.192, 0.808], [0.005, 0.801, 0.199], [0.995, 0.199, 0.801], [0.564, 0.125, 0.875], [0.436, 0.875, 0.125]], "formation_energy_uncorrected_ev_per_atom": -1.099}

=====

Question: Which formula does entry 3 have?
Answer: CaCoHgSb2